# Sm2ScMnSe6

Sm2ScMnSe6 after structural relaxation (GGA-PBE, Alexandria).

abc: 6.646 7.500 11.684
angles: 90.00 124.21 90.00
Fractional positions:
Sm1 0.201 0.115 0.247
Sm2 0.201 0.385 0.747
Sm3 0.799 0.615 0.253
Sm4 0.799 0.885 0.753
Sc1 0.500 0.000 0.000
Sc2 0.500 0.500 0.500
Mn1 0.000 0.000 0.500
Mn2 0.000 0.500 0.000
Se1 0.107 0.178 0.937
Se2 0.107 0.322 0.437
Se3 0.263 0.673 0.942
Se4 0.263 0.827 0.442
Se5 0.376 0.031 0.740
Se6 0.376 0.469 0.240
Se7 0.624 0.531 0.760
Se8 0.624 0.969 0.260
Se9 0.737 0.173 0.558
Se10 0.737 0.327 0.058
Se11 0.893 0.678 0.563
Se12 0.893 0.822 0.063

- DFT total energy: -6.042 eV per atom
- Space-group type: No. 14